Compound: AcPC2O8
Source: Alexandria
Functional: PBE-GGA
Structure: optimized geometry

Cell and atoms, written as POSCAR:
```
AcPC2O8
1.0
-0.582 4.565 0.888
-3.813 2.035 -0.593
-3.681 0.703 6.339
O C Ac P
8 2 1 1
direct
0.828 0.020 0.817
0.172 0.980 0.183
0.335 0.020 0.817
0.822 0.733 0.622
0.784 0.471 0.962
0.216 0.529 0.038
0.665 0.980 0.183
0.178 0.267 0.378
0.707 0.775 0.810
0.293 0.225 0.190
0.500 0.500 0.500
0.000 0.000 0.000
```

Summary:
**Formation energy without anion corrections**: -1.73 eV/atom
**Crystal system**: monoclinic
**Total energy**: -88.3 eV per cell
**SG**: C2/m
**Magnetization**: 0.000 μB per formula unit